Ba2CuHRh (GGA-PBE, relaxed); VASP energy = -19.89 eV/f.u.; total magnetization = 0.00 Bohr magnetons per cell; V = 131.2 Å³/f.u.; DOS(E_F) = 2.0 states/eV/f.u.
1.0
-0.705 -0.450 4.324
3.964 -5.602 0.063
5.228 7.371 1.619
Rh Ba H Cu
2 4 2 2
Cartesian
2.506 -1.095 3.659
5.981 2.414 2.347
5.647 -0.302 4.253
2.661 -4.290 3.352
5.827 5.608 2.655
2.841 1.621 1.753
1.087 -0.157 3.525
7.400 1.475 2.481
4.576 2.930 4.415
3.912 -1.612 1.591



Tb6Ce2Y3Sc (GGA-PBE, relaxed); VASP energy = -64.70 eV/f.u.; total magnetization = 1.96 Bohr magnetons per cell; V = 373.4 Å³/f.u.; DOS(E_F) = 23.0 states/eV/f.u.
1.0
-0.277 -4.548 -4.075
3.389 -0.622 5.050
-10.130 -2.699 5.231
Tb Ce Y Sc
6 2 3 1
Cartesian
-6.858 -3.331 4.188
-0.159 -4.539 2.017
-5.912 -6.576 3.161
-4.693 -5.270 6.196
-1.106 -1.294 3.044
-2.325 -2.600 0.009
0.946 -3.238 -1.031
2.166 -1.932 2.005
-3.509 -3.935 3.103
-2.284 -2.623 6.151
-4.733 -5.246 0.054
0.000 0.000 0.000



La2Ge2S (GGA-PBE, relaxed); VASP energy = -28.60 eV/f.u.; total magnetization = 0.00 Bohr magnetons per cell; V = 140.9 Å³/f.u.; formation energy (no corrections) = -1.077 eV per atom; DOS(E_F) = 2.3 states/eV/f.u.
1.0
7.904 0.000 0.000
0.000 7.904 0.000
0.000 0.000 4.510
La Ge S
4 4 2
Cartesian
6.434 5.423 0.000
5.423 1.471 0.000
2.481 6.434 0.000
1.471 2.481 0.000
4.799 7.058 2.255
0.846 4.799 2.255
3.106 0.846 2.255
7.058 3.106 2.255
0.000 0.000 0.000
3.952 3.952 0.000



Y3Cu2Ag3 (GGA-PBE, relaxed); VASP energy = -38.30 eV/f.u.; total magnetization = 0.00 Bohr magnetons per cell; V = 172.9 Å³/f.u.; DOS(E_F) = 5.3 states/eV/f.u.
1.0
3.741 0.000 0.000
0.000 6.327 -3.653
0.000 0.000 7.306
Cu Y Ag
2 3 3
Cartesian
0.000 2.109 3.653
0.000 4.218 0.000
1.871 2.533 1.462
1.871 0.000 4.381
1.871 3.794 -2.191
0.000 1.513 -0.874
0.000 4.814 2.779
0.000 0.000 1.747



Ho4Tl2CdHg (GGA-PBE, relaxed); VASP energy = -27.20 eV/f.u.; total magnetization = 0.31 Bohr magnetons per cell; V = 210.3 Å³/f.u.; DOS(E_F) = 8.6 states/eV/f.u.
1.0
-0.444 -3.475 3.974
0.250 -5.199 -0.987
8.512 -2.693 2.127
Ho Tl Hg Cd
4 2 1 1
Cartesian
0.986 -5.757 2.139
7.333 -5.610 2.976
3.062 -8.598 3.417
5.257 -2.768 1.698
6.303 -8.524 3.844
2.015 -2.843 1.270
4.159 -5.683 2.557
0.000 0.000 0.000



NdGaNi3 (GGA-PBE, relaxed); VASP energy = -26.46 eV/f.u.; total magnetization = 0.00 Bohr magnetons per cell; V = 86.9 Å³/f.u.; DOS(E_F) = 3.2 states/eV/f.u.
1.0
-0.004 5.259 -0.708
-2.000 3.355 5.043
4.838 3.060 2.813
Ni Ga Nd
6 2 2
Cartesian
2.840 4.331 2.326
-0.006 7.343 4.821
-0.003 4.713 5.176
2.838 6.961 1.972
1.017 2.905 1.686
1.817 8.769 5.461
1.419 3.207 3.928
-0.002 2.630 -0.354
2.668 6.103 5.538
0.166 5.571 1.609